No. 1
Here is a relaxed structure of TmTiIr from Alexandria. Energies are from PBE.

For the formation energy, the calculation gives -0.46 eV/atom. Its magnetic moment is 0.00 μB/atom. The density of states at the Fermi level comes out at 4.294 states/eV/cell. For the electronic total energy, the calculation gives -22.62 eV/cell. The calculation puts the distance to the lowest polymorph of the same formula at 0.2599 eV/atom.

Geometry as CIF:
```
data_TmTiIr
_chemical_formula_sum 'Tm1 Ti1 Ir1'
_symmetry_space_group_name_H-M 'P 1'
_symmetry_Int_Tables_number 1
_cell_length_a 4.5214
_cell_length_b 4.5214
_cell_length_c 4.5214
_cell_angle_alpha 60.00
_cell_angle_beta 60.00
_cell_angle_gamma 60.00
loop_
_symmetry_equiv_pos_as_xyz
'x,y,z'
loop_
_atom_site_label
_atom_site_type_symbol
_atom_site_fract_x
_atom_site_fract_y
_atom_site_fract_z
_atom_site_occupancy
Tm1 Tm 0.0000 0.0000 0.0000 1
Ti1 Ti 0.5000 0.5000 0.5000 1
Ir1 Ir 0.7500 0.7500 0.7500 1
```

=====

No. 2
Here is a relaxed structure of UTi2Ir from Alexandria. Energies are from PBE.

For the formation energy, the calculation gives -0.35 eV/atom. Its magnetic moment is 0.00 μB/atom. The density of states at the Fermi level comes out at 8.307 states/eV/cell. For the electronic total energy, the calculation gives -37.36 eV/cell. The calculation puts the distance to the lowest polymorph of the same formula at 0.0000 eV/atom.

Geometry as CIF:
```
data_UTi2Ir
_chemical_formula_sum 'U1 Ti2 Ir1'
_symmetry_space_group_name_H-M 'P 1'
_symmetry_Int_Tables_number 1
_cell_length_a 2.9468
_cell_length_b 2.9468
_cell_length_c 7.9393
_cell_angle_alpha 90.00
_cell_angle_beta 90.00
_cell_angle_gamma 90.00
loop_
_symmetry_equiv_pos_as_xyz
'x,y,z'
loop_
_atom_site_label
_atom_site_type_symbol
_atom_site_fract_x
_atom_site_fract_y
_atom_site_fract_z
_atom_site_occupancy
U1 U 0.0000 0.0000 0.0000 1
Ti1 Ti 0.5000 0.5000 0.2870 1
Ti2 Ti 0.5000 0.5000 0.7130 1
Ir1 Ir 0.0000 0.0000 0.5000 1
```

=====

No. 3
Here is a relaxed structure of UTi2Ir from Alexandria. Energies are from PBE.

For the formation energy, the calculation gives -0.24 eV/atom. Its magnetic moment is 0.32 μB/atom. The density of states at the Fermi level comes out at 6.955 states/eV/cell. For the electronic total energy, the calculation gives -36.88 eV/cell. The calculation puts the distance to the lowest polymorph of the same formula at 0.1185 eV/atom.

Geometry as CIF:
```
data_UTi2Ir
_chemical_formula_sum 'U1 Ti2 Ir1'
_symmetry_space_group_name_H-M 'P 1'
_symmetry_Int_Tables_number 1
_cell_length_a 4.7148
_cell_length_b 4.7148
_cell_length_c 2.9973
_cell_angle_alpha 90.00
_cell_angle_beta 90.00
_cell_angle_gamma 90.00
loop_
_symmetry_equiv_pos_as_xyz
'x,y,z'
loop_
_atom_site_label
_atom_site_type_symbol
_atom_site_fract_x
_atom_site_fract_y
_atom_site_fract_z
_atom_site_occupancy
U1 U 0.0000 0.0000 0.0000 1
Ti1 Ti 0.0000 0.5000 0.5000 1
Ti2 Ti 0.5000 0.0000 0.5000 1
Ir1 Ir 0.5000 0.5000 0.0000 1
```

=====

No. 4
Here is a relaxed structure of UTi2Ir from Alexandria. Energies are from PBE.

For the formation energy, the calculation gives -0.20 eV/atom. Its magnetic moment is 0.33 μB/atom. The density of states at the Fermi level comes out at 5.308 states/eV/cell. For the electronic total energy, the calculation gives -36.73 eV/cell. The calculation puts the distance to the lowest polymorph of the same formula at 0.1568 eV/atom.

Geometry as CIF:
```
data_UTi2Ir
_chemical_formula_sum 'U1 Ti2 Ir1'
_symmetry_space_group_name_H-M 'P 1'
_symmetry_Int_Tables_number 1
_cell_length_a 4.5515
_cell_length_b 4.5515
_cell_length_c 4.5515
_cell_angle_alpha 60.00
_cell_angle_beta 60.00
_cell_angle_gamma 60.00
loop_
_symmetry_equiv_pos_as_xyz
'x,y,z'
loop_
_atom_site_label
_atom_site_type_symbol
_atom_site_fract_x
_atom_site_fract_y
_atom_site_fract_z
_atom_site_occupancy
U1 U 0.0000 0.0000 0.0000 1
Ti1 Ti 0.2500 0.2500 0.2500 1
Ti2 Ti 0.7500 0.7500 0.7500 1
Ir1 Ir 0.5000 0.5000 0.5000 1
```

=====

No. 5
Here is a relaxed structure of ZrUTiIr from Alexandria. Energies are from PBE.

For the formation energy, the calculation gives -0.11 eV/atom. Its magnetic moment is 0.41 μB/atom. The density of states at the Fermi level comes out at 6.034 states/eV/cell. For the electronic total energy, the calculation gives -37.01 eV/cell.

Geometry as CIF:
```
data_ZrUTiIr
_chemical_formula_sum 'Zr1 U1 Ti1 Ir1'
_symmetry_space_group_name_H-M 'P 1'
_symmetry_Int_Tables_number 1
_cell_length_a 4.6855
_cell_length_b 4.6855
_cell_length_c 4.6855
_cell_angle_alpha 60.00
_cell_angle_beta 60.00
_cell_angle_gamma 60.00
loop_
_symmetry_equiv_pos_as_xyz
'x,y,z'
loop_
_atom_site_label
_atom_site_type_symbol
_atom_site_fract_x
_atom_site_fract_y
_atom_site_fract_z
_atom_site_occupancy
Zr1 Zr 0.0000 0.0000 0.0000 1
U1 U 0.2500 0.2500 0.2500 1
Ti1 Ti 0.5000 0.5000 0.5000 1
Ir1 Ir 0.7500 0.7500 0.7500 1
```

=====

No. 6
Here is a relaxed structure of TiV3Ir from Alexandria. Energies are from PBE.

For the formation energy, the calculation gives 1.19 eV/atom. Its magnetic moment is 0.00 μB/atom. The density of states at the Fermi level comes out at 10.010 states/eV/cell. For the electronic total energy, the calculation gives -38.18 eV/cell. The calculation puts the distance to the lowest polymorph of the same formula at 0.2635 eV/atom.

Geometry as CIF:
```
data_TiV3Ir
_chemical_formula_sum 'Ti1 V3 Ir1'
_symmetry_space_group_name_H-M 'P 1'
_symmetry_Int_Tables_number 1
_cell_length_a 4.2852
_cell_length_b 4.2852
_cell_length_c 4.2852
_cell_angle_alpha 90.00
_cell_angle_beta 90.00
_cell_angle_gamma 90.00
loop_
_symmetry_equiv_pos_as_xyz
'x,y,z'
loop_
_atom_site_label
_atom_site_type_symbol
_atom_site_fract_x
_atom_site_fract_y
_atom_site_fract_z
_atom_site_occupancy
Ti1 Ti 0.0000 0.0000 0.0000 1
V1 V 0.0000 0.0000 0.5000 1
V2 V 0.0000 0.5000 0.0000 1
V3 V 0.5000 0.0000 0.0000 1
Ir1 Ir 0.5000 0.5000 0.5000 1
```

=====

No. 7
Here is a relaxed structure of Ti8V2Ir from Alexandria. Energies are from PBE.

For the formation energy, the calculation gives -0.18 eV/atom. Its magnetic moment is 0.00 μB/atom. The density of states at the Fermi level comes out at 14.013 states/eV/cell. For the electronic total energy, the calculation gives -92.19 eV/cell.

Geometry as CIF:
```
data_Ti8V2Ir
_chemical_formula_sum 'Ti8 V2 Ir1'
_symmetry_space_group_name_H-M 'P 1'
_symmetry_Int_Tables_number 1
_cell_length_a 7.7960
_cell_length_b 7.7960
_cell_length_c 5.3023
_cell_angle_alpha 90.05
_cell_angle_beta 90.05
_cell_angle_gamma 33.02
loop_
_symmetry_equiv_pos_as_xyz
'x,y,z'
loop_
_atom_site_label
_atom_site_type_symbol
_atom_site_fract_x
_atom_site_fract_y
_atom_site_fract_z
_atom_site_occupancy
Ti1 Ti 0.0463 0.0463 0.2328 1
Ti2 Ti 0.1467 0.1467 0.7206 1
Ti3 Ti 0.3212 0.3212 0.5922 1
Ti4 Ti 0.4146 0.4146 0.0738 1
Ti5 Ti 0.5854 0.5854 0.9262 1
Ti6 Ti 0.6788 0.6788 0.4078 1
Ti7 Ti 0.8533 0.8533 0.2794 1
Ti8 Ti 0.9537 0.9537 0.7672 1
V1 V 0.2359 0.2359 0.1418 1
V2 V 0.7641 0.7641 0.8582 1
Ir1 Ir 0.5000 0.5000 0.5000 1
```

=====

No. 8
Here is a relaxed structure of TiVIr3 from Alexandria. Energies are from PBE.

For the formation energy, the calculation gives 0.82 eV/atom. Its magnetic moment is 0.20 μB/atom. The density of states at the Fermi level comes out at 6.214 states/eV/cell. For the electronic total energy, the calculation gives -39.50 eV/cell. The calculation puts the distance to the lowest polymorph of the same formula at 0.0000 eV/atom.

Geometry as CIF:
```
data_TiVIr3
_chemical_formula_sum 'Ti1 V1 Ir3'
_symmetry_space_group_name_H-M 'P 1'
_symmetry_Int_Tables_number 1
_cell_length_a 4.5044
_cell_length_b 4.5044
_cell_length_c 4.5044
_cell_angle_alpha 90.00
_cell_angle_beta 90.00
_cell_angle_gamma 90.00
loop_
_symmetry_equiv_pos_as_xyz
'x,y,z'
loop_
_atom_site_label
_atom_site_type_symbol
_atom_site_fract_x
_atom_site_fract_y
_atom_site_fract_z
_atom_site_occupancy
Ti1 Ti 0.0000 0.0000 0.0000 1
V1 V 0.5000 0.5000 0.5000 1
Ir1 Ir 0.0000 0.5000 0.5000 1
Ir2 Ir 0.5000 0.0000 0.5000 1
Ir3 Ir 0.5000 0.5000 0.0000 1
```

=====

No. 9
Here is a relaxed structure of Ti5VIr4 from Alexandria. Energies are from PBE.

For the formation energy, the calculation gives -0.69 eV/atom. Its magnetic moment is 0.00 μB/atom. The density of states at the Fermi level comes out at 9.340 states/eV/cell. For the electronic total energy, the calculation gives -90.91 eV/cell.

Geometry as CIF:
```
data_Ti5VIr4
_chemical_formula_sum 'Ti5 V1 Ir4'
_symmetry_space_group_name_H-M 'P 1'
_symmetry_Int_Tables_number 1
_cell_length_a 3.1487
_cell_length_b 3.1487
_cell_length_c 15.2228
_cell_angle_alpha 90.00
_cell_angle_beta 90.00
_cell_angle_gamma 90.00
loop_
_symmetry_equiv_pos_as_xyz
'x,y,z'
loop_
_atom_site_label
_atom_site_type_symbol
_atom_site_fract_x
_atom_site_fract_y
_atom_site_fract_z
_atom_site_occupancy
Ti1 Ti 0.0000 0.0000 0.0000 1
Ti2 Ti 0.0000 0.0000 0.1999 1
Ti3 Ti 0.0000 0.0000 0.4017 1
Ti4 Ti 0.0000 0.0000 0.5983 1
Ti5 Ti 0.0000 0.0000 0.8001 1
V1 V 0.5000 0.5000 0.5000 1
Ir1 Ir 0.5000 0.5000 0.0990 1
Ir2 Ir 0.5000 0.5000 0.2968 1
Ir3 Ir 0.5000 0.5000 0.7032 1
Ir4 Ir 0.5000 0.5000 0.9010 1
```

=====

No. 10
Here is a relaxed structure of Ti3VIr6 from Alexandria. Energies are from PBE.

For the formation energy, the calculation gives -0.68 eV/atom. Its magnetic moment is 0.09 μB/atom. The density of states at the Fermi level comes out at 13.796 states/eV/cell. For the electronic total energy, the calculation gives -185.52 eV/cell.

Geometry as CIF:
```
data_Ti3VIr6
_chemical_formula_sum 'Ti6 V2 Ir12'
_symmetry_space_group_name_H-M 'P 1'
_symmetry_Int_Tables_number 1
_cell_length_a 7.4704
_cell_length_b 4.4300
_cell_length_c 9.6033
_cell_angle_alpha 90.00
_cell_angle_beta 111.43
_cell_angle_gamma 90.00
loop_
_symmetry_equiv_pos_as_xyz
'x,y,z'
loop_
_atom_site_label
_atom_site_type_symbol
_atom_site_fract_x
_atom_site_fract_y
_atom_site_fract_z
_atom_site_occupancy
Ti1 Ti 0.0734 0.2500 0.2142 1
Ti2 Ti 0.3053 0.2500 0.0257 1
Ti3 Ti 0.3420 0.7500 0.3666 1
Ti4 Ti 0.6580 0.2500 0.6334 1
Ti5 Ti 0.6947 0.7500 0.9743 1
Ti6 Ti 0.9266 0.7500 0.7858 1
V1 V 0.1133 0.7500 0.5664 1
V2 V 0.8867 0.2500 0.4336 1
Ir1 Ir 0.0810 0.2500 0.7161 1
Ir2 Ir 0.1182 0.7500 0.0805 1
Ir3 Ir 0.2729 0.2500 0.5077 1
Ir4 Ir 0.2954 0.7500 0.8651 1
Ir5 Ir 0.4850 0.2500 0.8276 1
Ir6 Ir 0.4863 0.7500 0.6658 1
Ir7 Ir 0.5137 0.2500 0.3342 1
Ir8 Ir 0.5150 0.7500 0.1724 1
Ir9 Ir 0.7046 0.2500 0.1349 1
Ir10 Ir 0.7271 0.7500 0.4923 1
Ir11 Ir 0.8818 0.2500 0.9195 1
Ir12 Ir 0.9190 0.7500 0.2839 1
```

=====

No. 11
Here is a relaxed structure of TiV2Ir from Alexandria. Energies are from PBE.

For the formation energy, the calculation gives 0.14 eV/atom. Its magnetic moment is 0.00 μB/atom. The density of states at the Fermi level comes out at 10.067 states/eV/cell. For the electronic total energy, the calculation gives -68.85 eV/cell. The calculation puts the distance to the lowest polymorph of the same formula at 0.5483 eV/atom.

Geometry as CIF:
```
data_TiV2Ir
_chemical_formula_sum 'Ti2 V4 Ir2'
_symmetry_space_group_name_H-M 'P 1'
_symmetry_Int_Tables_number 1
_cell_length_a 5.5806
_cell_length_b 5.5806
_cell_length_c 5.5806
_cell_angle_alpha 102.16
_cell_angle_beta 102.16
_cell_angle_gamma 125.36
loop_
_symmetry_equiv_pos_as_xyz
'x,y,z'
loop_
_atom_site_label
_atom_site_type_symbol
_atom_site_fract_x
_atom_site_fract_y
_atom_site_fract_z
_atom_site_occupancy
Ti1 Ti 0.0000 0.0000 0.0000 1
Ti2 Ti 0.7500 0.2500 0.5000 1
V1 V 0.1485 0.1250 0.5235 1
V2 V 0.3750 0.8515 0.9765 1
V3 V 0.6015 0.6250 0.4765 1
V4 V 0.8750 0.3985 0.0235 1
Ir1 Ir 0.2500 0.7500 0.5000 1
Ir2 Ir 0.5000 0.5000 0.0000 1
```

=====

No. 12
Here is a relaxed structure of Ti6VIr5 from Alexandria. Energies are from PBE.

For the formation energy, the calculation gives -0.79 eV/atom. Its magnetic moment is 0.00 μB/atom. The density of states at the Fermi level comes out at 4.982 states/eV/cell. For the electronic total energy, the calculation gives -110.22 eV/cell.

Geometry as CIF:
```
data_Ti6VIr5
_chemical_formula_sum 'Ti6 V1 Ir5'
_symmetry_space_group_name_H-M 'P 1'
_symmetry_Int_Tables_number 1
_cell_length_a 6.8231
_cell_length_b 6.8231
_cell_length_c 6.4112
_cell_angle_alpha 90.00
_cell_angle_beta 90.00
_cell_angle_gamma 143.06
loop_
_symmetry_equiv_pos_as_xyz
'x,y,z'
loop_
_atom_site_label
_atom_site_type_symbol
_atom_site_fract_x
_atom_site_fract_y
_atom_site_fract_z
_atom_site_occupancy
Ti1 Ti 0.0000 0.0000 0.2431 1
Ti2 Ti 0.0000 0.0000 0.7569 1
Ti3 Ti 0.3358 0.6642 0.2450 1
Ti4 Ti 0.3358 0.6642 0.7550 1
Ti5 Ti 0.6642 0.3358 0.2450 1
Ti6 Ti 0.6642 0.3358 0.7550 1
V1 V 0.5000 0.5000 0.0000 1
Ir1 Ir 0.1674 0.8326 0.0000 1
Ir2 Ir 0.1674 0.8326 0.5000 1
Ir3 Ir 0.5000 0.5000 0.5000 1
Ir4 Ir 0.8326 0.1674 0.0000 1
Ir5 Ir 0.8326 0.1674 0.5000 1
```